<1>
P2WOF: relaxed, GGA+U.

Cell lengths 4.789, 4.789, 3.850 Å; angles 90.00, 90.00, 90.00 degrees
Space group P4/mmm (No. 123)
Symmetry-distinct sites (fractional):
P 0.000 0.500 0.000 [2 per cell]
W 0.000 0.000 0.000 [1 per cell]
O 0.000 0.000 0.500 [1 per cell]
F 0.500 0.500 0.500 [1 per cell]

Calculated density (g/cm3): 5.281
Total magnetic moment (μB per cell): 0.99

***

<2>
P2WOF: relaxed, GGA+U.

Cell lengths 3.916, 3.916, 4.510 Å; angles 90.00, 90.00, 90.00 degrees
Space group P4/mmm (No. 123)
Symmetry-distinct sites (fractional):
P 0.000 0.500 0.000 [2 per cell]
W 0.000 0.000 0.500 [1 per cell]
O 0.500 0.500 0.500 [1 per cell]
F 0.500 0.500 0.000 [1 per cell]

Calculated density (g/cm3): 6.741
Total magnetic moment (μB per cell): 1.74

***

Stability order, top to bottom: <1>, <2>